# Sr2CdGaS5, optimized geometry, DFT PBE
data_Sr2CdGaS5
_cell_length_a 3.9311
_cell_length_b 18.7128
_cell_length_c 11.7988
_cell_angle_alpha 90.00
_cell_angle_beta 90.00
_cell_angle_gamma 90.00
_space_group_name_H-M_alt 'C m c 21'
_space_group_IT_number 36
loop_
_space_group_symop_operation_xyz
'x,y,z'
'-x,-y,z+1/2'
'-x,y,z'
'x,-y,z+1/2'
'x+1/2,y+1/2,z'
'-x+1/2,-y+1/2,z+1/2'
'-x+1/2,y+1/2,z'
'x+1/2,-y+1/2,z+1/2'
loop_
_atom_site_label
_atom_site_type_symbol
_atom_site_fract_x
_atom_site_fract_y
_atom_site_fract_z
Sr1 Sr 0.0000 0.1130 0.0000
Sr2 Sr 0.0000 0.1133 0.3713
Cd1 Cd 0.0000 0.2294 0.7240
Ga1 Ga 0.0000 0.4368 0.1482
S1 S 0.0000 0.0426 0.7525
S2 S 0.0000 0.2830 0.3767
S3 S 0.0000 0.3177 0.0893
S4 S 0.0000 0.3638 0.6890
S5 S 0.0000 0.4903 0.9769
# E_form (uncorrected) = -10.490 eV per formula unit
# V = 24.109 A^3/atom



# Tl2CdGaS4, optimized geometry, DFT PBE
data_Tl2CdGaS4
_cell_length_a 9.7903
_cell_length_b 8.9935
_cell_length_c 6.9307
_cell_angle_alpha 90.00
_cell_angle_beta 134.91
_cell_angle_gamma 90.00
_space_group_name_H-M_alt 'C 1 2 1'
_space_group_IT_number 5
loop_
_space_group_symop_operation_xyz
'x,y,z'
'-x,y,-z'
'x+1/2,y+1/2,z'
'-x+1/2,y+1/2,-z'
loop_
_atom_site_label
_atom_site_type_symbol
_atom_site_fract_x
_atom_site_fract_y
_atom_site_fract_z
Tl1 Tl 0.0000 0.0000 0.0000
Tl2 Tl 0.0000 0.2497 0.5000
Cd1 Cd 0.0000 0.4994 0.0000
Ga1 Ga 0.0000 0.7492 0.5000
S1 S 0.1842 0.6168 0.4692
S2 S 0.2147 0.8807 0.8990
# E_form (uncorrected) = -3.470 eV per formula unit
# V = 27.011 A^3/atom



| no. | calculated total energy (Ry/atom) |
| --- | --- |
| 1 | -0.314 |
| 2 | -0.263 |